A relaxed structure of PaMn2BO6. Source: Alexandria, functional PBE+U.

Results
For the total energy, the calculation gives -80.69 eV for the cell shown. The space group is P4mm.

abc: 5.217 5.217 4.663
angles: 90.00 90.00 90.00
Fractional positions:
1 Pa 0.000 0.000 0.000
2 Mn 0.000 0.500 0.387
3 Mn 0.500 0.000 0.387
4 B 0.500 0.500 0.993
5 O 0.000 0.000 0.536
6 O 0.278 0.278 0.122
7 O 0.278 0.722 0.122
8 O 0.500 0.500 0.697
9 O 0.722 0.278 0.122
10 O 0.722 0.722 0.122